## P
DFT (PBE) results for RbNaSb3 after structural relaxation.

Lattice parameters (Å, degrees): 6.1489 6.1489 6.1489 90.00 90.00 90.00
Last column: nearest neighbours and their distance in Å.
Fractional coordinates of all 5 atoms:
Sb 0.0000 0.0000 0.5000  2 Rb 3.07
Sb 0.5000 0.0000 0.0000  2 Rb 3.07
Sb 0.0000 0.5000 0.0000  2 Rb 3.07
Rb 0.0000 0.0000 0.0000  6 Sb 3.07
Na 0.5000 0.5000 0.5000  12 Sb 4.35

Values from the calculation:
* space group: No. 221
* M_tot: 0.00 μB per atom
* calculated volume: 232.5 Å³/cell



## Q
DFT (PBE) results for RbNaSb3 after structural relaxation.

Lattice parameters (Å, degrees): 5.2461 6.6549 11.1927 86.45 103.55 90.00
Last column: nearest neighbours and their distance in Å.
Fractional coordinates of all 10 atoms:
Sb 0.5263 0.6960 0.0527  3 Sb 2.92-2.97
Sb 0.4737 0.3040 0.9473  3 Sb 2.92-2.97
Sb 0.2406 0.1044 0.4811  2 Sb 2.98, 1 Na 3.16
Sb 0.9708 0.8106 0.9416  3 Sb 2.90-2.97
Sb 0.0292 0.1894 0.0584  3 Sb 2.90-2.97
Sb 0.7594 0.8956 0.5189  2 Sb 2.98, 1 Na 3.16
Na 0.3755 0.9004 0.7510  4 Sb 3.16-3.47
Na 0.6245 0.0996 0.2490  4 Sb 3.16-3.47
Rb 0.8442 0.3777 0.6883  8 Sb 3.80-4.14, 2 Na 4.14
Rb 0.1558 0.6223 0.3117  8 Sb 3.80-4.14, 2 Na 4.14

Values from the calculation:
* space group: No. 12
* M_tot: 0.00 μB per atom
* calculated volume: 379.1 Å³/cell



The data favor Q; the next most stable structure lies 1252 meV/atom above it.



## P
DFT (PBE) results for RbNaSb2 after structural relaxation.

Lattice parameters (Å, degrees): 5.2269 5.2269 11.8000 77.20 77.20 90.00
Last column: nearest neighbours and their distance in Å.
Fractional coordinates of all 8 atoms:
Rb 0.0000 0.0000 0.0000  4 Sb 3.58, 4 Na 3.70
Rb 0.7500 0.2500 0.5000  4 Sb 3.58, 4 Na 3.70
Na 0.5000 0.5000 0.0000  4 Sb 3.20
Na 0.2500 0.7500 0.5000  4 Sb 3.20
Sb 0.2198 0.6250 0.2500  2 Sb 3.08, 2 Na 3.20
Sb 0.8750 0.7802 0.7500  2 Sb 3.08, 2 Na 3.20
Sb 0.5302 0.1250 0.2500  2 Sb 3.08, 2 Na 3.20
Sb 0.3750 0.4698 0.7500  2 Sb 3.08, 2 Na 3.20

Values from the calculation:
* space group: No. 122
* M_tot: 0.00 μB per atom
* calculated volume: 306.2 Å³/cell



## Q
DFT (PBE) results for RbNaSb2 after structural relaxation.

Lattice parameters (Å, degrees): 5.0444 9.7296 12.8738 90.00 90.00 90.00
Last column: nearest neighbours and their distance in Å.
Fractional coordinates of all 16 atoms:
Na 0.2500 0.5179 0.1202  5 Sb 3.19-3.45
Na 0.7500 0.4821 0.8798  5 Sb 3.19-3.45
Na 0.7500 0.9821 0.6202  5 Sb 3.19-3.45
Na 0.2500 0.0179 0.3798  5 Sb 3.19-3.45
Rb 0.2500 0.1135 0.8716  9 Sb 3.91-4.07, 2 Na 4.30
Rb 0.7500 0.3865 0.3716  9 Sb 3.91-4.07, 2 Na 4.30
Rb 0.2500 0.6135 0.6284  9 Sb 3.91-4.07, 2 Na 4.30
Rb 0.7500 0.8865 0.1284  9 Sb 3.91-4.07, 2 Na 4.30
Sb 0.2500 0.1968 0.1689  2 Sb 2.91, 2 Na 3.19-3.22
Sb 0.7500 0.3032 0.6689  2 Sb 2.91, 2 Na 3.19-3.22
Sb 0.7500 0.8032 0.8311  2 Sb 2.91, 2 Na 3.19-3.22
Sb 0.2500 0.2167 0.5778  2 Sb 2.91, 1 Na 3.20
Sb 0.7500 0.7833 0.4222  2 Sb 2.91, 1 Na 3.20
Sb 0.7500 0.2833 0.0778  2 Sb 2.91, 1 Na 3.20
Sb 0.2500 0.6968 0.3311  2 Sb 2.91, 2 Na 3.19-3.22
Sb 0.2500 0.7167 0.9222  2 Sb 2.91, 1 Na 3.20

Values from the calculation:
* space group: No. 62
* M_tot: 0.00 μB per atom
* calculated volume: 631.9 Å³/cell



The data favor Q; the next most stable structure lies 176 meV/atom above it.